No. 1
Compound: Ca2CdCu2
Source: the Alexandria database
Functional: PBE
Structure: optimized geometry

Unit cell a=5.536 b=5.536 c=5.536 alpha=118.66 beta=118.66 gamma=92.33
Sites, in units of the cell vectors:
Ca (0.250, 0.750, 0.500)
Ca (0.750, 0.250, 0.500)
Cd (0.000, 0.000, 0.000)
Cu (0.349, 0.349, 0.000)
Cu (0.651, 0.651, 0.000)

Values from the calculation:
- Symmetry: No. 139
- ΔH_f (0 K): -63 meV per atom


No. 2
Compound: BaTiHgPd2
Source: the Alexandria database
Functional: PBE
Structure: optimized geometry

Unit cell a=5.266 b=5.266 c=5.427 alpha=90.00 beta=90.00 gamma=90.00
Sites, in units of the cell vectors:
Ba (0.000, 0.000, 0.000)
Ti (0.000, 0.000, 0.500)
Hg (0.500, 0.500, 0.500)
Pd (0.000, 0.500, 0.000)
Pd (0.500, 0.000, 0.000)

Values from the calculation:
- Symmetry: No. 123
- ΔH_f (0 K): 1376 meV per atom


No. 3
Compound: LaTlS2
Source: the Alexandria database
Functional: PBE
Structure: optimized geometry

Unit cell a=7.107 b=7.107 c=7.107 alpha=114.43 beta=114.43 gamma=99.96
Sites, in units of the cell vectors:
La (0.000, 0.000, 0.000)
La (0.750, 0.250, 0.500)
Tl (0.250, 0.750, 0.500)
Tl (0.500, 0.500, 0.000)
S (0.084, 0.625, 0.959)
S (0.375, 0.334, 0.459)
S (0.666, 0.125, 0.041)
S (0.875, 0.916, 0.541)

Values from the calculation:
- Symmetry: No. 122
- Formation energy from raw total energies: -124 kJ/mol of atoms


No. 4
Compound: ScU2PaAs5
Source: the Alexandria database
Functional: PBE
Structure: optimized geometry

Unit cell a=5.095 b=5.095 c=10.474 alpha=90.00 beta=90.00 gamma=90.00
Sites, in units of the cell vectors:
Sc (0.000, 0.000, 0.000)
U (0.500, 0.500, 0.281)
U (0.500, 0.500, 0.719)
Pa (0.000, 0.000, 0.500)
As (0.000, 0.000, 0.238)
As (0.000, 0.000, 0.762)
As (0.000, 0.500, 0.500)
As (0.500, 0.000, 0.500)
As (0.500, 0.500, 0.000)

Values from the calculation:
- Symmetry: No. 123
- ΔH_f (0 K): -80 meV per atom


No. 5
Compound: NaDyF2
Source: the Alexandria database
Functional: PBE
Structure: optimized geometry

Unit cell a=8.093 b=8.093 c=8.093 alpha=23.72 beta=23.72 gamma=23.72
Sites, in units of the cell vectors:
Na (0.000, 0.000, 0.000)
Dy (0.500, 0.500, 0.500)
F (0.102, 0.102, 0.102)
F (0.898, 0.898, 0.898)

Values from the calculation:
- Symmetry: No. 166
- Formation energy from raw total energies: -222 kJ/mol of atoms


No. 6
Compound: PrErSc2Tl4
Source: the Alexandria database
Functional: PBE
Structure: optimized geometry

Unit cell a=9.183 b=9.183 c=9.183 alpha=33.42 beta=33.42 gamma=33.42
Sites, in units of the cell vectors:
Pr (0.000, 0.000, 0.000)
Er (0.500, 0.500, 0.500)
Sc (0.249, 0.249, 0.249)
Sc (0.751, 0.751, 0.751)
Tl (0.127, 0.127, 0.127)
Tl (0.378, 0.378, 0.378)
Tl (0.622, 0.622, 0.622)
Tl (0.873, 0.873, 0.873)

Values from the calculation:
- Symmetry: No. 166
- ΔH_f (0 K): -287 meV per atom


No. 7
Compound: Er3Bi
Source: the Alexandria database
Functional: PBE
Structure: optimized geometry

Unit cell a=3.680 b=5.315 c=5.963 alpha=90.00 beta=90.00 gamma=90.00
Sites, in units of the cell vectors:
Er (0.000, 0.000, 0.000)
Er (0.000, 0.500, 0.376)
Er (0.500, 0.000, 0.518)
Bi (0.500, 0.500, 0.864)

Values from the calculation:
- Symmetry: No. 25
- ΔH_f (0 K): -258 meV per atom


No. 8
Compound: Hf4Cd3
Source: the Alexandria database
Functional: PBE
Structure: optimized geometry

Unit cell a=17.768 b=17.768 c=17.768 alpha=170.09 beta=170.09 gamma=14.03
Sites, in units of the cell vectors:
Hf (0.070, 0.070, 0.000)
Hf (0.371, 0.371, 0.000)
Hf (0.629, 0.629, 0.000)
Hf (0.930, 0.930, 0.000)
Cd (0.285, 0.285, 0.000)
Cd (0.500, 0.500, 0.000)
Cd (0.715, 0.715, 0.000)

Values from the calculation:
- Symmetry: No. 139
- ΔH_f (0 K): 93 meV per atom


Copy entry 3 word for word.
Compound: LaTlS2
Source: the Alexandria database
Functional: PBE
Structure: optimized geometry

Unit cell a=7.107 b=7.107 c=7.107 alpha=114.43 beta=114.43 gamma=99.96
Sites, in units of the cell vectors:
La (0.000, 0.000, 0.000)
La (0.750, 0.250, 0.500)
Tl (0.250, 0.750, 0.500)
Tl (0.500, 0.500, 0.000)
S (0.084, 0.625, 0.959)
S (0.375, 0.334, 0.459)
S (0.666, 0.125, 0.041)
S (0.875, 0.916, 0.541)

Values from the calculation:
- Symmetry: No. 122
- Formation energy from raw total energies: -124 kJ/mol of atoms


Please write out number 3 again, unchanged.
Compound: LaTlS2
Source: the Alexandria database
Functional: PBE
Structure: optimized geometry

Unit cell a=7.107 b=7.107 c=7.107 alpha=114.43 beta=114.43 gamma=99.96
Sites, in units of the cell vectors:
La (0.000, 0.000, 0.000)
La (0.750, 0.250, 0.500)
Tl (0.250, 0.750, 0.500)
Tl (0.500, 0.500, 0.000)
S (0.084, 0.625, 0.959)
S (0.375, 0.334, 0.459)
S (0.666, 0.125, 0.041)
S (0.875, 0.916, 0.541)

Values from the calculation:
- Symmetry: No. 122
- Formation energy from raw total energies: -124 kJ/mol of atoms